This record from Alexandria via LeMat-Bulk describes ThZrTe2N after structural relaxation. The functional is GGA-PBE. Values from VASP.

Its electronic total energy is -7.401 eV/atom. Its formation energy without anion corrections is -1286 meV/atom. The value obtained for the density of states at the Fermi level is 1.0 states/eV/f.u. The value obtained for the theoretical density is 7.987 g cm⁻³. The calculation puts the size of the total moment at 0.00 μB per atom.

Structure (Quantum ESPRESSO input):
```
&SYSTEM
  ibrav = 0, nat = 10, ntyp = 4
/
ATOMIC_SPECIES
Th 232.04 Th.upf
Zr 91.22 Zr.upf
Te 127.60 Te.upf
N 14.01 N.upf
ATOMIC_POSITIONS crystal
Th 0.250 0.250 0.079
Th 0.750 0.750 0.921
Zr 0.250 0.250 0.583
Zr 0.750 0.750 0.417
Te 0.250 0.250 0.381
Te 0.250 0.250 0.784
Te 0.750 0.750 0.216
Te 0.750 0.750 0.619
N 0.250 0.750 0.000
N 0.750 0.250 0.000
CELL_PARAMETERS angstrom
4.102 0.000 0.000
0.000 4.102 0.000
0.000 0.000 14.640
```